A plane-wave DFT calculation with PBE-GGA was carried out for a relaxed structure of BaCd3Si.

## Properties
**Total moment**: 0.00 μB/atom
**Energy above the lowest structure with this stoichiometry**: 0 kJ/mol of formula units
**ΔE_f (raw)**: 0.22 eV/f.u.
**Raw total energy**: -9.87 eV per cell
**Density**: 5408 kg/m3

abc: 5.3641 5.3641 5.3641
angles: 90.00 90.00 90.00
With the nearest neighbours (Å) after each atom.
Space group Pm-3m (No. 221)
Unique sites:
Ba  0.0000  0.0000  0.0000 [1 per cell]  12 Cd 3.79
Cd  0.0000  0.5000  0.5000 [3 per cell]  2 Si 2.68
Si  0.5000  0.5000  0.5000 [1 per cell]  6 Cd 2.68